## MnP2O7 (GGA+U)

Data for an optimized crystal structure of MnP2O7.

Cell: 7.7859 7.8383 15.7701 Å, 90.00 90.00 90.00°
With the nearest neighbours (Å) after each atom.
Positions (direct):
Mn (0.9889, 0.2448, 0.3747)  6 O 1.91-2.01
Mn (0.9764, 0.7412, 0.1229)  6 O 1.88-1.93
Mn (0.5236, 0.2412, 0.6229)  6 O 1.88-1.93
Mn (0.5111, 0.7448, 0.8747)  6 O 1.91-2.01
Mn (0.4889, 0.2448, 0.1253)  6 O 1.91-2.01
Mn (0.4764, 0.7412, 0.3771)  6 O 1.88-1.93
Mn (0.0236, 0.2412, 0.8771)  6 O 1.88-1.93
Mn (0.0111, 0.7448, 0.6253)  6 O 1.91-2.01
P (0.8981, 0.8673, 0.9355)  4 O 1.53-1.59
P (0.9055, 0.1275, 0.6883)  4 O 1.51-1.59
P (0.8919, 0.1273, 0.1758)  4 O 1.53-1.60
P (0.8706, 0.8430, 0.4274)  4 O 1.52-1.61
P (0.6294, 0.3430, 0.9274)  4 O 1.52-1.61
P (0.6081, 0.6273, 0.6758)  4 O 1.53-1.60
P (0.5945, 0.6275, 0.1883)  4 O 1.51-1.59
P (0.6019, 0.3673, 0.4355)  4 O 1.53-1.59
P (0.3981, 0.8673, 0.5645)  4 O 1.53-1.59
P (0.4055, 0.1275, 0.8117)  4 O 1.51-1.59
P (0.3919, 0.1273, 0.3242)  4 O 1.53-1.60
P (0.3706, 0.8430, 0.0726)  4 O 1.52-1.61
P (0.1294, 0.3430, 0.5726)  4 O 1.52-1.61
P (0.1081, 0.6273, 0.8242)  4 O 1.53-1.60
P (0.0945, 0.6275, 0.3117)  4 O 1.51-1.59
P (0.1019, 0.3673, 0.0645)  4 O 1.53-1.59
O (0.9804, 0.9529, 0.1854)  1 P 1.54
O (0.9762, 0.7842, 0.5034)  1 P 1.52
O (0.9807, 0.5211, 0.0704)  1 P 1.53
O (0.9378, 0.7361, 0.3472)  2 P 1.59-1.61
O (0.9909, 0.2104, 0.0972)  2 P 1.59-1.60
O (0.9231, 0.2358, 0.2549)  1 P 1.53
O (0.9345, 0.1129, 0.7833)  1 P 1.52
O (0.8539, 0.8304, 0.0285)  1 P 1.53
O (0.8916, 0.9534, 0.6447)  1 P 1.53
O (0.8754, 0.0323, 0.4038)  1 P 1.53
O (0.8167, 0.2876, 0.9368)  1 P 1.53
O (0.7978, 0.6144, 0.6492)  1 P 1.54
O (0.7300, 0.8802, 0.8852)  1 P 1.53
O (0.7568, 0.7269, 0.1713)  1 P 1.51
O (0.7432, 0.2269, 0.6713)  1 P 1.51
O (0.7700, 0.3802, 0.3852)  1 P 1.53
O (0.7022, 0.1144, 0.1492)  1 P 1.54
O (0.6833, 0.7876, 0.4368)  1 P 1.53
O (0.6246, 0.5323, 0.9038)  1 P 1.53
O (0.6084, 0.4534, 0.1447)  1 P 1.53
O (0.6461, 0.3304, 0.5285)  1 P 1.53
O (0.5655, 0.6129, 0.2833)  1 P 1.52
O (0.5769, 0.7358, 0.7549)  1 P 1.53
O (0.5091, 0.7104, 0.5972)  2 P 1.59-1.60
O (0.5622, 0.2361, 0.8472)  2 P 1.59-1.61
O (0.5193, 0.0211, 0.5704)  1 P 1.53
O (0.5238, 0.2842, 0.0034)  1 P 1.52
O (0.5196, 0.4529, 0.6854)  1 P 1.54
O (0.4804, 0.9529, 0.3146)  1 P 1.54
O (0.4762, 0.7842, 0.9966)  1 P 1.52
O (0.4807, 0.5211, 0.4296)  1 P 1.53
O (0.4378, 0.7361, 0.1528)  2 P 1.59-1.61
O (0.4909, 0.2104, 0.4028)  2 P 1.59-1.60
O (0.4231, 0.2358, 0.2451)  1 P 1.53
O (0.4345, 0.1129, 0.7167)  1 P 1.52
O (0.3539, 0.8304, 0.4715)  1 P 1.53
O (0.3916, 0.9534, 0.8553)  1 P 1.53
O (0.3754, 0.0323, 0.0962)  1 P 1.53
O (0.3167, 0.2876, 0.5632)  1 P 1.53
O (0.2978, 0.6144, 0.8508)  1 P 1.54
O (0.2300, 0.8802, 0.6148)  1 P 1.53
O (0.2568, 0.7269, 0.3287)  1 P 1.51
O (0.2432, 0.2269, 0.8287)  1 P 1.51
O (0.2700, 0.3802, 0.1148)  1 P 1.53
O (0.2022, 0.1144, 0.3508)  1 P 1.54
O (0.1833, 0.7876, 0.0632)  1 P 1.53
O (0.1246, 0.5323, 0.5962)  1 P 1.53
O (0.1084, 0.4534, 0.3553)  1 P 1.53
O (0.1461, 0.3304, 0.9715)  1 P 1.53
O (0.0655, 0.6129, 0.2167)  1 P 1.52
O (0.0769, 0.7358, 0.7451)  1 P 1.53
O (0.0091, 0.7104, 0.9028)  2 P 1.59-1.60
O (0.0622, 0.2361, 0.6528)  2 P 1.59-1.61
O (0.0193, 0.0211, 0.9296)  1 P 1.53
O (0.0238, 0.2842, 0.4966)  1 P 1.52
O (0.0196, 0.4529, 0.8146)  1 P 1.54

Output
- Magnetization: 2.97 μB/f.u.
- V: 12.030 Å³/atom
- Total DFT energy (no corrections): -572.64 eV per cell